Here is PaInHg2F8 after structural relaxation from Alexandria. Energies are from GGA-PBE.

E: -4.759 eV per atom
N(E_F): 0.474 states/eV/atom
Energy relative to the elements, uncorrected: -2.44 eV/atom

a = 6.3731 Å, b = 6.3731 Å, c = 7.0336 Å
α = 116.94°, β = 116.94°, γ = 90.00°
With the nearest neighbours (Å) after each atom.
Fractional coordinates of all 12 atoms:
F1 0.5788 0.0664 0.7427  1 Pa 2.24, 1 F 2.49
F2 0.3237 0.8361 0.2573  1 Pa 2.24, 1 F 2.49
F3 0.5788 0.6763 0.7427  1 Pa 2.24, 1 F 2.49
F4 0.3237 0.4212 0.2573  1 Pa 2.24, 1 F 2.49
F5 0.1639 0.6763 0.7427  1 Pa 2.24, 1 F 2.49
F6 0.1639 0.0664 0.7427  1 Pa 2.24, 1 F 2.49
F7 0.9336 0.8361 0.2573  1 Pa 2.24, 1 F 2.49
F8 0.9336 0.4212 0.2573  1 Pa 2.24, 1 F 2.49
Pa1 0.2500 0.7500 0.5000  8 F 2.24
Hg1 0.0000 0.0000 0.0000  8 F 2.64
Hg2 0.7500 0.2500 0.5000  8 F 3.00
In1 0.5000 0.5000 0.0000  8 F 2.73

***

Here is Ce2Zn4Pd5 after structural relaxation from Alexandria. Energies are from GGA-PBE.

E: -4.450 eV per atom
N(E_F): 1.504 states/eV/atom

a = 5.6995 Å, b = 5.4785 Å, c = 8.3716 Å
α = 79.80°, β = 70.10°, γ = 58.66°
With the nearest neighbours (Å) after each atom.
Fractional coordinates of all 11 atoms:
Ce1 0.1308 0.0000 0.7384  6 Zn 3.20-3.23, 10 Pd 3.32-3.52
Ce2 0.8692 0.0000 0.2616  6 Zn 3.20-3.23, 10 Pd 3.32-3.52
Zn1 0.2156 0.3091 0.2597  5 Pd 2.50-2.65
Zn2 0.7844 0.6909 0.7403  5 Pd 2.50-2.65
Zn3 0.4753 0.3091 0.7403  5 Pd 2.50-2.65
Zn4 0.5247 0.6909 0.2597  5 Pd 2.50-2.65
Pd1 0.5000 0.5000 0.0000  4 Zn 2.65, 4 Pd 2.74-2.85
Pd2 0.5000 0.0000 0.0000  4 Zn 2.50, 4 Pd 2.74
Pd3 0.7500 0.5000 0.5000  4 Zn 2.53
Pd4 0.0000 0.5000 0.0000  4 Zn 2.65, 4 Pd 2.74-2.85
Pd5 0.2500 0.5000 0.5000  4 Zn 2.53

***

Here is Mg2OsCl after structural relaxation from Alexandria. Energies are from GGA-PBE.

E: -3.935 eV per atom
N(E_F): 0.506 states/eV/atom
Energy above the most stable polymorph in this dataset: 431.4 meV per atom
Energy relative to the elements, uncorrected: 0.13 eV/atom

a = 6.3546 Å, b = 6.3546 Å, c = 6.3546 Å
α = 152.62°, β = 138.17°, γ = 50.72°
With the nearest neighbours (Å) after each atom.
Fractional coordinates of all 4 atoms:
Os1 0.4921 0.4921 0.0000  2 Cl 2.61, 6 Mg 2.70-2.73
Cl1 0.3068 0.8068 0.5000  2 Os 2.61
Mg1 0.6869 0.1869 0.5000  2 Os 2.70, 4 Mg 3.01
Mg2 0.0141 0.0141 0.0000  4 Os 2.73, 4 Mg 3.01

***

Here is CsTl2CuAu after structural relaxation from Alexandria. Energies are from GGA-PBE.

E: -2.531 eV per atom
N(E_F): 0.574 states/eV/atom

a = 5.3520 Å, b = 5.3520 Å, c = 5.3757 Å
α = 90.00°, β = 90.00°, γ = 90.00°
With the nearest neighbours (Å) after each atom.
Fractional coordinates of all 5 atoms:
Cu1 0.0000 0.0000 0.0000  4 Tl 2.68, 2 Au 2.69
Tl1 0.0000 0.5000 0.0000  2 Cu 2.68
Tl2 0.5000 0.0000 0.0000  2 Cu 2.68
Au1 0.0000 0.0000 0.5000  2 Cu 2.69
Cs1 0.5000 0.5000 0.5000  4 Au 3.78, 8 Tl 3.79

***

Please write out number 4 again, unchanged.
Here is CsTl2CuAu after structural relaxation from Alexandria. Energies are from GGA-PBE.

E: -2.531 eV per atom
N(E_F): 0.574 states/eV/atom

a = 5.3520 Å, b = 5.3520 Å, c = 5.3757 Å
α = 90.00°, β = 90.00°, γ = 90.00°
With the nearest neighbours (Å) after each atom.
Fractional coordinates of all 5 atoms:
Cu1 0.0000 0.0000 0.0000  4 Tl 2.68, 2 Au 2.69
Tl1 0.0000 0.5000 0.0000  2 Cu 2.68
Tl2 0.5000 0.0000 0.0000  2 Cu 2.68
Au1 0.0000 0.0000 0.5000  2 Cu 2.69
Cs1 0.5000 0.5000 0.5000  4 Au 3.78, 8 Tl 3.79

***

Which value of E does entry 2 give?
-4.450 eV per atom

***

Copy entry 4 word for word.
Here is CsTl2CuAu after structural relaxation from Alexandria. Energies are from GGA-PBE.

E: -2.531 eV per atom
N(E_F): 0.574 states/eV/atom

a = 5.3520 Å, b = 5.3520 Å, c = 5.3757 Å
α = 90.00°, β = 90.00°, γ = 90.00°
With the nearest neighbours (Å) after each atom.
Fractional coordinates of all 5 atoms:
Cu1 0.0000 0.0000 0.0000  4 Tl 2.68, 2 Au 2.69
Tl1 0.0000 0.5000 0.0000  2 Cu 2.68
Tl2 0.5000 0.0000 0.0000  2 Cu 2.68
Au1 0.0000 0.0000 0.5000  2 Cu 2.69
Cs1 0.5000 0.5000 0.5000  4 Au 3.78, 8 Tl 3.79